## TbErIn2Se4 (PBE-GGA)

Data for an optimized crystal structure of TbErIn2Se4.

Summary:
- E_form (uncorrected) (meV/atom) = -1299

Cell lengths 7.1709, 4.1416, 8.1098 Å; angles 90.00, 107.15, 90.00 degrees
Fractional positions:
Tb  0.0000  0.0000  0.0000
Er  0.5000  0.5000  0.0000
In  0.0000  0.5000  0.5000
In  0.5000  0.0000  0.5000
Se  0.2391  0.5000  0.2084
Se  0.2672  0.0000  0.7931
Se  0.7328  0.0000  0.2069
Se  0.7609  0.5000  0.7916

## Er6InTe3Se2 (PBE-GGA)

Data for an optimized crystal structure of Er6InTe3Se2.

Summary:
- E_form (uncorrected) (meV/atom) = -1247

Cell lengths 9.5464, 9.5464, 8.6819 Å; angles 104.20, 104.20, 25.03 degrees
Fractional positions:
Er  0.0069  0.0069  0.2479
Er  0.3254  0.3254  0.4324
Er  0.3359  0.3359  0.8963
Er  0.6641  0.6641  0.1037
Er  0.6746  0.6746  0.5676
Er  0.9931  0.9931  0.7521
In  0.5000  0.5000  0.0000
Te  0.1665  0.1665  0.8308
Te  0.5000  0.5000  0.5000
Te  0.8335  0.8335  0.1692
Se  0.1681  0.1681  0.3368
Se  0.8319  0.8319  0.6632

## Er4InTe2Se (PBE-GGA)

Data for an optimized crystal structure of Er4InTe2Se.

Summary:
- E_form (uncorrected) (meV/atom) = -1137

Cell lengths 7.4293, 4.1857, 7.5042 Å; angles 90.00, 108.68, 90.00 degrees
Fractional positions:
Er  0.2405  0.0000  0.2261
Er  0.2521  0.5000  0.7635
Er  0.7479  0.5000  0.2365
Er  0.7595  0.0000  0.7739
In  0.5000  0.0000  0.0000
Te  0.0000  0.0000  0.5000
Te  0.5000  0.5000  0.5000
Se  0.0000  0.5000  0.0000

## ErTl2InSe4 (PBE-GGA)

Data for an optimized crystal structure of ErTl2InSe4.

Summary:
- E_form (uncorrected) (meV/atom) = -877

Cell lengths 8.6443, 8.6443, 8.6443 Å; angles 120.76, 120.04, 89.31 degrees
Fractional positions:
Er  0.5000  0.0000  0.0000
Er  0.5000  0.5000  0.5000
Tl  0.0000  0.0000  0.0000
Tl  0.0000  0.0000  0.5000
Tl  0.0000  0.5000  0.0000
Tl  0.5000  0.0000  0.5000
In  0.0000  0.5000  0.5000
In  0.5000  0.5000  0.0000
Se  0.2635  0.2930  0.5295
Se  0.2635  0.7340  0.9705
Se  0.2646  0.7363  0.5283
Se  0.2919  0.2637  0.0283
Se  0.7081  0.7363  0.9717
Se  0.7354  0.2637  0.4717
Se  0.7365  0.2660  0.0295
Se  0.7365  0.7070  0.4705